The following is a PBE-GGA calculation of Sm2GdAuO6 after structural relaxation, from OQMD.

```
Sm2GdAuO6
1.0
3.668 0.000 0.000
-0.106 5.612 0.000
-1.604 -0.051 6.902
Sm Gd Au O
2 1 1 6
direct
0.110 0.029 0.264
0.890 0.971 0.736
0.500 0.500 0.000
0.500 0.500 0.500
0.018 0.753 0.024
0.338 0.194 0.613
0.369 0.702 0.709
0.631 0.298 0.291
0.662 0.806 0.387
0.982 0.247 0.976
```

Values from the calculation:
M_tot   0.00 μB per atom
Calculated total energy   -7.379 eV per atom